The following is a PBE calculation of Ho3ScAs4 after structural relaxation, from the Alexandria database.

a = 5.728 Å, b = 5.728 Å, c = 5.728 Å
α = 90.00°, β = 90.00°, γ = 90.00°
Space group Pm-3m (No. 221)
One atom of each set of equivalent atoms:
1 Ho 0.000 0.000 0.500
2 Sc 0.500 0.500 0.500
3 As 0.000 0.000 0.000
4 As 0.000 0.500 0.500

Results
Formation enthalpy at 0 K, meV per atom: -1471
Energy relative to the lowest polymorph listed for this composition, meV/atom: 6
DFT total energy, eV for the cell shown: -50.429

The following is a PBE calculation of Ni2H2Br after structural relaxation, from the Alexandria database.

a = 3.172 Å, b = 3.172 Å, c = 10.313 Å
α = 90.00°, β = 90.00°, γ = 90.00°
Space group I4/mmm (No. 139)
One atom of each set of equivalent atoms:
1 Ni 0.000 0.000 0.177
2 H 0.000 0.500 0.250
3 Br 0.000 0.000 0.500

Results
DFT total energy, eV for the cell shown: -37.794

The following is a PBE calculation of FeAg2 after structural relaxation, from the Alexandria database.

a = 7.547 Å, b = 7.547 Å, c = 7.547 Å
α = 90.00°, β = 90.00°, γ = 90.00°
Space group Fd-3m (No. 227, origin choice 2)
One atom of each set of equivalent atoms:
1 Fe 0.125 0.125 0.125
2 Ag 0.000 0.000 0.500

Results
Formation enthalpy at 0 K, meV per atom: 705
DFT total energy, eV for the cell shown: -96.391

The following is a PBE calculation of CeTh3Co after structural relaxation, from the Alexandria database.

a = 6.069 Å, b = 6.859 Å, c = 7.013 Å
α = 90.00°, β = 108.64°, γ = 90.00°
Space group P2_1/m (No. 11)
One atom of each set of equivalent atoms:
1 Ce 0.048 0.250 0.379
2 Th 0.064 0.250 0.885
3 Th 0.493 0.000 0.732
4 Co 0.304 0.750 0.954

Results
Formation enthalpy at 0 K, meV per atom: -52
Energy relative to the lowest polymorph listed for this composition, meV/atom: 0
DFT total energy, eV for the cell shown: -71.115

The following is a PBE calculation of AcAl3Ag3 after structural relaxation, from the Alexandria database.

a = 7.393 Å, b = 4.498 Å, c = 9.673 Å
α = 90.00°, β = 111.10°, γ = 90.00°
Space group P2_1/m (No. 11)
One atom of each set of equivalent atoms:
1 Ac 0.124 0.250 0.237
2 Al 0.242 0.250 0.910
3 Al 0.417 0.750 0.810
4 Al 0.487 0.250 0.643
5 Ag 0.109 0.250 0.611
6 Ag 0.300 0.750 0.521
7 Ag 0.344 0.750 0.063

Results
Formation enthalpy at 0 K, meV per atom: -234
Energy relative to the lowest polymorph listed for this composition, meV/atom: 0
DFT total energy, eV for the cell shown: -51.063

The following is a PBE calculation of YClF2 after structural relaxation, from the Alexandria database.

a = 3.9536 Å, b = 3.9536 Å, c = 28.4865 Å
α = 90.00°, β = 90.00°, γ = 120.00°
Space group R-3m (No. 166, hexagonal axes)
One atom of each set of equivalent atoms:
1 Y 0.0000 0.0000 0.0000
2 Cl 0.0000 0.0000 0.5000
3 F 0.0000 0.0000 0.0705

Results
Energy relative to the lowest polymorph listed for this composition, meV/atom: 1999
DFT total energy, eV for the cell shown: -53.819

The following is a PBE calculation of RbErCu2Cl6 after structural relaxation, from the Alexandria database.

a = 6.930 Å, b = 6.933 Å, c = 8.308 Å
α = 90.03°, β = 114.64°, γ = 119.87°
Space group P-1 (No. 2)
One atom of each set of equivalent atoms:
1 Rb 0.000 0.000 0.000
2 Er 0.000 0.500 0.500
3 Cu 0.469 0.234 0.701
4 Cl 0.179 0.465 0.285
5 Cl 0.180 0.285 0.715
6 Cl 0.429 0.894 0.715

Results
DFT total energy, eV for the cell shown: -39.576

The following is a PBE calculation of PrFeSn2 after structural relaxation, from the Alexandria database.

a = 3.3561 Å, b = 3.3561 Å, c = 31.1927 Å
α = 90.00°, β = 90.00°, γ = 120.00°
Space group R-3m (No. 166, hexagonal axes)
One atom of each set of equivalent atoms:
1 Pr 0.0000 0.0000 0.0000
2 Fe 0.0000 0.0000 0.5000
3 Sn 0.0000 0.0000 0.1051

Results
Formation enthalpy at 0 K, meV per atom: 252
DFT total energy, eV for the cell shown: -60.725

The following is a PBE calculation of Ho3CoRh2 after structural relaxation, from the Alexandria database.

a = 4.7859 Å, b = 4.7859 Å, c = 11.7012 Å
α = 90.00°, β = 90.00°, γ = 120.00°
Space group P-3m1 (No. 164)
One atom of each set of equivalent atoms:
1 Ho 0.0000 0.0000 0.2466
2 Ho 0.3333 0.6667 0.4138
3 Ho 0.3333 0.6667 0.9176
4 Co 0.3333 0.6667 0.1662
5 Rh 0.0000 0.0000 0.0000
6 Rh 0.0000 0.0000 0.5000
7 Rh 0.3333 0.6667 0.6676

Results
Formation enthalpy at 0 K, meV per atom: -650
DFT total energy, eV for the cell shown: -78.880

The following is a PBE calculation of BaLi4Pu after structural relaxation, from the Alexandria database.

a = 8.847 Å, b = 8.847 Å, c = 8.847 Å
α = 90.00°, β = 90.00°, γ = 90.00°
Space group F-43m (No. 216)
One atom of each set of equivalent atoms:
1 Ba 0.000 0.000 0.000
2 Li 0.124 0.124 0.624
3 Pu 0.250 0.250 0.250

Results
Formation enthalpy at 0 K, meV per atom: 243
DFT total energy, eV for the cell shown: -89.799

The following is a PBE calculation of BaCdPt after structural relaxation, from the Alexandria database.

a = 7.238 Å, b = 7.238 Å, c = 7.238 Å
α = 90.00°, β = 90.00°, γ = 90.00°
Space group F-43m (No. 216)
One atom of each set of equivalent atoms:
1 Ba 0.000 0.000 0.000
2 Cd 0.000 0.000 0.500
3 Pt 0.250 0.250 0.750

Results
Formation enthalpy at 0 K, meV per atom: -484
DFT total energy, eV for the cell shown: -41.320

The following is a PBE calculation of TlFeIN2 after structural relaxation, from the Alexandria database.

a = 4.218 Å, b = 4.218 Å, c = 6.985 Å
α = 90.00°, β = 90.00°, γ = 90.00°
Space group P4/mmm (No. 123)
One atom of each set of equivalent atoms:
1 Tl 0.000 0.000 0.000
2 Fe 0.500 0.500 0.500
3 I 0.000 0.000 0.500
4 N 0.000 0.500 0.000

Results
Energy relative to the lowest polymorph listed for this composition, meV/atom: 788
DFT total energy, eV for the cell shown: -18.811

The following is a PBE calculation of GdCdCuNi after structural relaxation, from the Alexandria database.

a = 6.631 Å, b = 6.631 Å, c = 6.631 Å
α = 90.00°, β = 90.00°, γ = 90.00°
Space group F-43m (No. 216)
One atom of each set of equivalent atoms:
1 Gd 0.000 0.000 0.000
2 Cd 0.000 0.000 0.500
3 Cu 0.250 0.250 0.250
4 Ni 0.250 0.250 0.750

Results
Formation enthalpy at 0 K, meV per atom: -182
DFT total energy, eV for the cell shown: -102.407

The following is a PBE calculation of NiMoBr2 after structural relaxation, from the Alexandria database.

a = 6.323 Å, b = 3.663 Å, c = 8.371 Å
α = 90.00°, β = 104.53°, γ = 90.00°
Space group Cm (No. 8)
One atom of each set of equivalent atoms:
1 Ni 0.000 0.000 0.000
2 Mo 0.284 0.000 0.848
3 Br 0.048 0.500 0.639
4 Br 0.222 0.500 0.172

Results
Energy relative to the lowest polymorph listed for this composition, meV/atom: 98
DFT total energy, eV for the cell shown: -38.796

The following is a PBE calculation of SrBeNb3 after structural relaxation, from the Alexandria database.

a = 4.834 Å, b = 4.834 Å, c = 4.834 Å
α = 90.00°, β = 90.00°, γ = 90.00°
Space group Pm-3m (No. 221)
One atom of each set of equivalent atoms:
1 Sr 0.000 0.000 0.000
2 Be 0.500 0.500 0.500
3 Nb 0.000 0.000 0.500

Results
Formation enthalpy at 0 K, meV per atom: 2797
Energy relative to the lowest polymorph listed for this composition, meV/atom: 1880
DFT total energy, eV for the cell shown: -21.634

The following is a PBE calculation of La2GeAsP after structural relaxation, from the Alexandria database.

a = 5.757 Å, b = 5.757 Å, c = 4.580 Å
α = 90.00°, β = 90.00°, γ = 90.00°
Space group P4/mmm (No. 123)
One atom of each set of equivalent atoms:
1 La 0.000 0.500 0.000
2 Ge 0.000 0.000 0.000
3 As 0.000 0.000 0.500
4 P 0.500 0.500 0.500

Results
Formation enthalpy at 0 K, meV per atom: -196
DFT total energy, eV for the cell shown: -25.510

The following is a PBE calculation of TiRe2Ag after structural relaxation, from the Alexandria database.

a = 6.309 Å, b = 6.309 Å, c = 6.309 Å
α = 90.00°, β = 90.00°, γ = 90.00°
Space group Fm-3m (No. 225)
One atom of each set of equivalent atoms:
1 Ti 0.000 0.000 0.000
2 Re 0.250 0.250 0.250
3 Ag 0.000 0.000 0.500

Results
Formation enthalpy at 0 K, meV per atom: 557
Energy relative to the lowest polymorph listed for this composition, meV/atom: 0
DFT total energy, eV for the cell shown: -133.655

The following is a PBE calculation of MnCuCSBr after structural relaxation, from the Alexandria database.

a = 8.228 Å, b = 3.422 Å, c = 6.692 Å
α = 90.00°, β = 97.10°, γ = 90.00°
Space group Cm (No. 8)
One atom of each set of equivalent atoms:
1 Mn 0.000 0.000 0.000
2 Cu 0.124 0.500 0.379
3 C 0.163 0.000 0.250
4 S 0.294 0.000 0.072
5 Br 0.489 0.000 0.693

Results
Energy relative to the lowest polymorph listed for this composition, meV/atom: 86
DFT total energy, eV for the cell shown: -54.576

The following is a PBE calculation of Sm3SiCl2 after structural relaxation, from the Alexandria database.

a = 4.255 Å, b = 5.745 Å, c = 12.165 Å
α = 90.00°, β = 90.00°, γ = 90.00°
Space group Immm (No. 71)
One atom of each set of equivalent atoms:
1 Sm 0.000 0.000 0.000
2 Sm 0.000 0.000 0.347
3 Si 0.000 0.500 0.000
4 Cl 0.000 0.500 0.334

Results
DFT total energy, eV for the cell shown: -61.310

The following is a PBE calculation of ErMg8In6 after structural relaxation, from the Alexandria database.

a = 8.6066 Å, b = 8.6066 Å, c = 18.4636 Å
α = 90.00°, β = 90.00°, γ = 120.00°
Space group R-3 (No. 148, hexagonal axes)
One atom of each set of equivalent atoms:
1 Er 0.0000 0.0000 0.0000
2 Mg 0.0000 0.0000 0.3347
3 Mg 0.9996 0.3341 0.2203
4 In 0.0008 0.6613 0.9400

Results
Formation enthalpy at 0 K, meV per atom: -15
DFT total energy, eV for the cell shown: -101.925